Material: RbMnNb2
Method: DFT, PBE
State: optimized geometry

POSCAR file:
```
RbMnNb2
1.0
-5.3606 3.5486 -3.2593
-4.6635 -2.5957 4.8441
-4.1549 4.5183 3.7834
Nb Mn Rb
4 2 2
Cartesian
-3.6302 2.1347 0.3302 Nb
-5.9654 0.8392 2.7501 Nb
-8.0426 3.0963 4.6445 Nb
-10.7199 4.8723 3.0117 Nb
-5.0121 0.4765 0.7924 Mn
-6.9153 1.1996 4.7100 Mn
0.0000 0.0000 0.0000 Rb
-7.2638 4.2717 0.6583 Rb
```

Output
electronic total energy = -0.4368 Ry/atom
N(E_F) = 8.01 states/eV per cell
E above lowest polymorph = 0.000 eV per atom
total moment = 0.0 μB/f.u.
ΔH_f (0 K) = 1.626 eV per atom